Here is a relaxed structure of MnAsNF2 from the Alexandria database. Energies are from PBE with a Hubbard U.

The structure in CIF format:
```
data_MnAsNF2
_space_group_name_H-M_alt 'P 1'
_space_group_IT_number 1
_space_group_name_Hall 'P 1'
_cell_length_a 4.192
_cell_length_b 4.192
_cell_length_c 4.098
_cell_angle_alpha 90.00
_cell_angle_beta 90.00
_cell_angle_gamma 90.00
loop_
_atom_site_label
_atom_site_fract_x
_atom_site_fract_y
_atom_site_fract_z
Mn1 0.000 0.000 0.000
As1 0.500 0.500 0.500
N1 0.500 0.500 0.000
F1 0.000 0.500 0.500
F2 0.500 0.000 0.500
```

Total magnetic moment, μB/cell: 5.2
Energy above the most stable polymorph in this dataset, eV/f.u.: 0.45